Record 1
# CaBeTe2O8

A relaxed CaBeTe2O8 crystal (PBE-GGA, Alexandria).

The structure in CIF format:
```
data_CaBeTe2O8
_space_group_name_H-M_alt 'P 1'
_space_group_IT_number 1
_cell_length_a 4.831
_cell_length_b 4.830
_cell_length_c 6.243
_cell_angle_alpha 90.00
_cell_angle_beta 90.00
_cell_angle_gamma 81.20
loop_
_space_group_symop_operation_xyz
'x,y,z'
loop_
_atom_site_label
_atom_site_fract_x
_atom_site_fract_y
_atom_site_fract_z
Ca1 0.000 0.000 0.500
Be1 0.000 0.000 0.000
Te1 0.500 0.500 0.763
Te2 0.500 0.500 0.237
O1 0.199 0.800 0.214
O2 0.686 0.686 0.000
O3 0.801 0.200 0.214
O4 0.801 0.200 0.786
O5 0.314 0.314 0.000
O6 0.199 0.800 0.786
O7 0.669 0.670 0.500
O8 0.331 0.330 0.500
```

=====

Record 2
# Ca2TiBe2O6

A relaxed Ca2TiBe2O6 crystal (PBE-GGA, Alexandria).

The structure in CIF format:
```
data_Ca2TiBe2O6
_space_group_name_H-M_alt 'P 1'
_space_group_IT_number 1
_cell_length_a 5.283
_cell_length_b 5.283
_cell_length_c 5.915
_cell_angle_alpha 63.48
_cell_angle_beta 63.48
_cell_angle_gamma 60.00
loop_
_space_group_symop_operation_xyz
'x,y,z'
loop_
_atom_site_label
_atom_site_fract_x
_atom_site_fract_y
_atom_site_fract_z
Ca1 0.789 0.789 0.634
Ca2 0.211 0.211 0.366
Ti1 0.000 0.000 0.000
Be1 0.416 0.416 0.753
Be2 0.584 0.584 0.247
O1 0.752 0.752 0.245
O2 0.252 0.752 0.245
O3 0.752 0.252 0.245
O4 0.248 0.748 0.755
O5 0.748 0.248 0.755
O6 0.248 0.248 0.755
```

=====

Record 3
# Ca2TiBeO5

A relaxed Ca2TiBeO5 crystal (PBE-GGA, Alexandria).

The structure in CIF format:
```
data_Ca2TiBeO5
_space_group_name_H-M_alt 'P 1'
_space_group_IT_number 1
_cell_length_a 3.073
_cell_length_b 6.691
_cell_length_c 10.258
_cell_angle_alpha 90.00
_cell_angle_beta 90.00
_cell_angle_gamma 103.27
loop_
_space_group_symop_operation_xyz
'x,y,z'
loop_
_atom_site_label
_atom_site_fract_x
_atom_site_fract_y
_atom_site_fract_z
Ca1 0.870 0.740 0.832
Ca2 0.089 0.179 0.663
Ca3 0.130 0.260 0.332
Ca4 0.911 0.821 0.163
Ti1 0.797 0.594 0.534
Ti2 0.203 0.406 0.034
Be1 0.560 0.121 0.924
Be2 0.440 0.879 0.424
O1 0.345 0.690 0.009
O2 0.689 0.377 0.906
O3 0.502 0.004 0.789
O4 0.293 0.586 0.662
O5 0.951 0.903 0.506
O6 0.655 0.310 0.509
O7 0.311 0.623 0.406
O8 0.498 0.996 0.289
O9 0.707 0.414 0.162
O10 0.049 0.097 0.006
```

=====

Record 4
# CaU2BeO8

A relaxed CaU2BeO8 crystal (PBE-GGA, Alexandria).

The structure in CIF format:
```
data_CaU2BeO8
_space_group_name_H-M_alt 'P 1'
_space_group_IT_number 1
_cell_length_a 4.920
_cell_length_b 4.913
_cell_length_c 6.903
_cell_angle_alpha 93.66
_cell_angle_beta 86.31
_cell_angle_gamma 85.82
loop_
_space_group_symop_operation_xyz
'x,y,z'
loop_
_atom_site_label
_atom_site_fract_x
_atom_site_fract_y
_atom_site_fract_z
Ca1 0.000 0.000 0.500
U1 0.478 0.522 0.759
U2 0.522 0.478 0.241
Be1 0.000 0.000 0.000
O1 0.235 0.768 0.249
O2 0.680 0.679 0.000
O3 0.833 0.166 0.184
O4 0.765 0.232 0.751
O5 0.320 0.321 0.000
O6 0.167 0.834 0.816
O7 0.676 0.674 0.500
O8 0.324 0.326 0.500
```

=====

Record 5
# Ca2UBeO6

A relaxed Ca2UBeO6 crystal (PBE-GGA, Alexandria).

The structure in CIF format:
```
data_Ca2UBeO6
_space_group_name_H-M_alt 'P 1'
_space_group_IT_number 1
_cell_length_a 5.420
_cell_length_b 5.377
_cell_length_c 5.875
_cell_angle_alpha 117.23
_cell_angle_beta 120.91
_cell_angle_gamma 90.00
loop_
_space_group_symop_operation_xyz
'x,y,z'
loop_
_atom_site_label
_atom_site_fract_x
_atom_site_fract_y
_atom_site_fract_z
Ca1 0.219 0.258 0.516
Ca2 0.781 0.742 0.484
U1 0.000 0.500 0.000
Be1 0.500 0.000 0.000
O1 0.339 0.730 0.460
O2 0.217 0.178 0.889
O3 0.783 0.288 0.111
O4 0.217 0.712 0.889
O5 0.783 0.822 0.111
O6 0.661 0.270 0.540
```

=====

no.,D(E_F) (states/eV/f.u.),formation energy from raw total energies (meV/atom)
1,0.03,-1413
2,0.00,-2810
3,0.00,-2935
4,0.00,-2872
5,0.00,-2870